Record 1
8
Lattice="7.8595 0.0000 0.0000 0.0000 4.5543 0.0000 -2.6298 0.0000 7.4265" Properties=species:S:1:pos:R:3 comment="PBE Sm2HoThBi4, relaxed" e_form_mev_per_atom=-824 magmom_total_mub_per_atom=0.000 volume_a3_per_atom=33.23 sg="No. 10" pbc="T T T"
Sm 0.0000 0.0000 0.0000
Sm 3.9298 2.2772 0.0000
Ho -1.3149 2.2772 3.7133
Th 2.6149 0.0000 3.7133
Bi -0.0394 0.0000 5.5413
Bi 1.2726 2.2772 1.8562
Bi 3.9572 2.2772 5.5703
Bi 5.2692 0.0000 1.8852

Record 2
10
Lattice="0.0000 3.8077 5.2551 3.5574 0.0000 5.2551 3.5574 3.8077 0.0000" Properties=species:S:1:pos:R:3 comment="PBE Ag3OsO6, relaxed" raw_formation_energy_ev_per_atom=-0.38 magmom_total_mub_per_atom=0.000 volume_a3_per_atom=14.24 sg="No. 69" pbc="T T T"
Ag 0.0000 0.0000 0.0000
Ag 1.7787 1.9039 2.6276
Ag 5.3361 5.7116 7.8827
Os 3.5574 3.8077 5.2551
O 4.9236 3.8077 3.9002
O 3.5574 1.9978 5.2551
O 4.9236 3.8077 6.6101
O 2.1913 3.8077 3.9002
O 3.5574 5.6177 5.2551
O 2.1913 3.8077 6.6101

Record 3
4
Lattice="4.5072 0.0000 0.0000 0.0000 4.5072 0.0000 0.0000 0.0000 3.4052" Properties=species:S:1:pos:R:3 comment="PBE AlTlPt2, relaxed" e_form_mev_per_atom=-240 magmom_total_mub_per_atom=0.000 volume_a3_per_atom=17.29 sg="No. 123" pbc="T T T"
Al 0.0000 0.0000 0.0000
Tl 2.2536 2.2536 0.0000
Pt 0.0000 2.2536 1.7026
Pt 2.2536 0.0000 1.7026

Record 4
4
Lattice="3.6315 0.0000 0.0000 0.0000 4.2590 0.0000 0.0000 0.0000 6.8834" Properties=species:S:1:pos:R:3 comment="PBE LaScBr2, relaxed" raw_formation_energy_ev_per_atom=-0.95 magmom_total_mub_per_atom=0.200 volume_a3_per_atom=26.62 sg="No. 47" pbc="T T T"
La 0.0000 0.0000 0.0000
Sc 1.8157 0.0000 3.4417
Br 1.8157 2.1295 1.6270
Br 1.8157 2.1295 5.2564

Record 5
5
Lattice="4.5644 0.0000 0.0000 0.0000 4.5644 0.0000 0.0000 0.0000 4.5644" Properties=species:S:1:pos:R:3 comment="PBE GaBrF3, relaxed" raw_formation_energy_ev_per_atom=-0.73 magmom_total_mub_per_atom=0.000 volume_a3_per_atom=19.02 sg="No. 221" pbc="T T T"
Ga 0.0000 0.0000 0.0000
Br 2.2822 2.2822 2.2822
F 0.0000 2.2822 2.2822
F 2.2822 0.0000 2.2822
F 2.2822 2.2822 0.0000

Record 6
4
Lattice="2.7603 0.0000 0.0000 0.0000 3.7292 0.0000 0.0000 0.0000 5.4755" Properties=species:S:1:pos:R:3 comment="PBE NiIr2W, relaxed" e_form_mev_per_atom=-197 magmom_total_mub_per_atom=0.000 volume_a3_per_atom=14.09 sg="No. 47" pbc="T T T"
Ni 0.0000 0.0000 0.0000
Ir 1.3802 1.8646 1.3123
Ir 1.3802 1.8646 4.1632
W 0.0000 0.0000 2.7378